An optimized crystal structure of DyGeTe3Au. Source: OQMD, functional GGA-PBE.

Summary:
For the raw total energy, the calculation gives -4.2127 eV/atom. Its crystal system is orthorhombic.

Geometry as CIF:
```
data_DyGeTe3Au
_symmetry_space_group_name_H-M 'C m c m'
_symmetry_Int_Tables_number 63
_symmetry_space_group_name_Hall '-C 2c 2'
_cell_length_a 4.1566
_cell_length_b 15.1041
_cell_length_c 11.3112
_cell_angle_alpha 90.00
_cell_angle_beta 90.00
_cell_angle_gamma 90.00
loop_
_atom_site_label
_atom_site_type_symbol
_atom_site_fract_x
_atom_site_fract_y
_atom_site_fract_z
Dy1 Dy 0.0000 0.0000 0.0000
Ge1 Ge 0.0000 0.1719 0.2500
Te1 Te 0.0000 0.0896 0.7500
Te2 Te 0.0000 0.3523 0.5524
Au1 Au 0.0000 0.4656 0.7500
```

An optimized crystal structure of DyY2Ge4Au4. Source: OQMD, functional GGA-PBE.

Summary:
For the raw total energy, the calculation gives -5.1087 eV/atom. Its crystal system is orthorhombic.

Geometry as CIF:
```
data_DyY2Ge4Au4
_symmetry_space_group_name_H-M 'I m m m'
_symmetry_Int_Tables_number 71
_symmetry_space_group_name_Hall '-I 2 2'
_cell_length_a 4.1272
_cell_length_b 4.3587
_cell_length_c 25.8070
_cell_angle_alpha 90.00
_cell_angle_beta 90.00
_cell_angle_gamma 90.00
loop_
_atom_site_label
_atom_site_type_symbol
_atom_site_fract_x
_atom_site_fract_y
_atom_site_fract_z
Dy1 Dy 0.0000 0.0000 0.0000
Y1 Y 0.0000 0.5000 0.1481
Ge1 Ge 0.0000 0.0000 0.4525
Ge2 Ge 0.0000 0.5000 0.3112
Au1 Au 0.0000 0.0000 0.2533
Au2 Au 0.0000 0.5000 0.4071
```

An optimized crystal structure of DyHfAu6. Source: OQMD, functional GGA-PBE.

Summary:
Its crystal system is orthorhombic. As for the formation energy from the elements: -13.9 kcal/mol of atoms.

Geometry as CIF:
```
data_DyHfAu6
_symmetry_space_group_name_H-M 'P m m 2'
_symmetry_Int_Tables_number 25
_cell_length_a 4.9361
_cell_length_b 6.1484
_cell_length_c 5.0505
_cell_angle_alpha 90.00
_cell_angle_beta 90.00
_cell_angle_gamma 90.00
loop_
_symmetry_equiv_pos_as_xyz
'x,y,z'
'-x,-y,z'
'-x,y,z'
'x,-y,z'
loop_
_atom_site_label
_atom_site_type_symbol
_atom_site_fract_x
_atom_site_fract_y
_atom_site_fract_z
Dy1 Dy 0.0000 0.0000 0.0000
Hf1 Hf 0.5000 0.5000 0.3141
Au1 Au 0.0000 0.2645 0.4968
Au2 Au 0.0000 0.5000 0.0070
Au3 Au 0.5000 0.0000 0.3305
Au4 Au 0.5000 0.2577 0.8216
```

Sequential calculated density output: 7.6, 10.1, 16.5 g/cm3
Sequential size of the total moment output: 0.001, 0.002, 0.000 μB/cell